Here is an optimized crystal structure of KGaBi from Alexandria via LeMat-Bulk. Energies are from PBE.

Results
The calculation puts the uncorrected energy at -17.661 eV/cell. The formation enthalpy at 0 K comes out at -26.5 kJ/mol of atoms.

a = 5.2913 Å, b = 5.0984 Å, c = 7.8217 Å
α = 90.00°, β = 90.07°, γ = 90.00°
With the nearest neighbours (Å) after each atom.
Fractional positions:
K 0.2491 0.2500 0.1765  4 Ga 3.55-3.70, 5 Bi 3.82
K 0.7509 0.7500 0.8235  4 Ga 3.55-3.70, 5 Bi 3.82
Ga 0.2498 0.7500 0.4925  4 Bi 2.97-3.00
Ga 0.7502 0.2500 0.5075  4 Bi 2.97-3.00
Bi 0.2506 0.2500 0.6883  4 Ga 2.97-3.00
Bi 0.7494 0.7500 0.3117  4 Ga 2.97-3.00

---

Here is an optimized crystal structure of Tb5RhS4 from Alexandria via LeMat-Bulk. Energies are from PBE.

Results
The calculation puts the uncorrected energy at -64.344 eV/cell. For the energy relative to the elements, uncorrected, the calculation gives -1.733 eV per atom.

a = 14.3239 Å, b = 14.3239 Å, c = 14.3239 Å
α = 164.14°, β = 164.14°, γ = 22.50°
With the nearest neighbours (Å) after each atom.
Fractional positions:
Tb 0.0000 0.0000 0.0000  4 Rh 2.79, 2 S 2.90
Tb 0.2027 0.2027 0.0000  6 S 2.79-2.80
Tb 0.4009 0.4009 0.0000  1 Rh 2.78, 5 S 2.78-2.80
Tb 0.5991 0.5991 0.0000  1 Rh 2.78, 5 S 2.78-2.80
Tb 0.7973 0.7973 0.0000  6 S 2.79-2.80
Rh 0.5000 0.5000 0.0000  6 Tb 2.78-2.79
S 0.1033 0.1033 0.0000  6 Tb 2.79-2.90
S 0.3018 0.3018 0.0000  6 Tb 2.78-2.80
S 0.6982 0.6982 0.0000  6 Tb 2.78-2.80
S 0.8967 0.8967 0.0000  6 Tb 2.79-2.90

---

Here is an optimized crystal structure of Ni2AgAu from Alexandria via LeMat-Bulk. Energies are from PBE.

Results
The calculation puts the uncorrected energy at -16.914 eV/cell. The formation enthalpy at 0 K comes out at 18.8 kJ/mol of atoms.

a = 4.7844 Å, b = 4.7844 Å, c = 4.7844 Å
α = 132.85°, β = 132.85°, γ = 68.88°
With the nearest neighbours (Å) after each atom.
Fractional positions:
Ni 0.0000 0.0000 0.0000  4 Au 2.71, 4 Ni 2.75, 4 Ag 2.75
Ni 0.7500 0.2500 0.5000  4 Ag 2.71, 4 Ni 2.75, 4 Au 2.75
Ag 0.2500 0.7500 0.5000  8 Ni 2.71-2.75, 4 Au 2.75
Au 0.5000 0.5000 0.0000  8 Ni 2.71-2.75, 4 Ag 2.75

---

Here is an optimized crystal structure of Dy2Se2O from Alexandria via LeMat-Bulk. Energies are from PBE.

Results
The calculation puts the uncorrected energy at -66.772 eV/cell. For the energy relative to the elements, uncorrected, the calculation gives -2.451 eV per atom.

a = 6.9286 Å, b = 6.9286 Å, c = 7.9906 Å
α = 117.87°, β = 117.87°, γ = 48.85°
With the nearest neighbours (Å) after each atom.
Fractional positions:
Dy 0.0317 0.0317 0.3208  2 O 2.16-2.17
Dy 0.3080 0.3080 0.8837  1 O 2.14
Dy 0.6920 0.6920 0.1163  1 O 2.14
Dy 0.9683 0.9683 0.6792  2 O 2.16-2.17
Se 0.1772 0.1772 0.0994  5 Dy 2.87-3.14
Se 0.4566 0.4566 0.7170  4 Dy 2.80-3.05
Se 0.5434 0.5434 0.2830  4 Dy 2.80-3.05
Se 0.8228 0.8228 0.9006  5 Dy 2.87-3.14
O 0.1247 0.1247 0.6358  3 Dy 2.14-2.17
O 0.8753 0.8753 0.3642  3 Dy 2.14-2.17

---

| no. | total magnetization (μB/cell) |
| --- | --- |
| 1 | 0.00 |
| 2 | 0.00 |
| 3 | 0.77 |
| 4 | 0.00 |